Record 1
# TmPd6Au8

A relaxed structure of TmPd6Au8 (PBE, Alexandria).

symmetry	P-3, No. 147
ΔE_f	-2.5	eV/f.u.

The structure in POSCAR format:
```
TmPd6Au8
1.0
7.728 0.000 0.000
-3.864 6.693 0.000
0.000 0.000 5.544
Tm Pd Au
1 6 8
Cartesian
0.000 0.000 0.000 Tm
-1.107 2.442 0.756 Pd
-1.196 6.430 0.756 Pd
1.562 2.180 4.787 Pd
2.303 4.513 0.756 Pd
5.060 0.263 4.787 Pd
4.971 4.251 4.787 Pd
-1.082 2.195 3.500 Au
-1.423 6.533 3.500 Au
1.360 2.034 2.044 Au
0.000 4.462 4.746 Au
3.864 2.231 0.797 Au
2.505 4.659 3.500 Au
5.287 0.160 2.044 Au
4.946 4.498 2.044 Au
```

***

Record 2
# NaPmHoAl

A relaxed structure of NaPmHoAl (PBE, Alexandria).

symmetry	F-43m, No. 216
ΔE_f	-0.2	eV/f.u.

The structure in POSCAR format:
```
NaPmHoAl
1.0
0.000 3.773 3.773
3.773 0.000 3.773
3.773 3.773 0.000
Na Pm Ho Al
1 1 1 1
Cartesian
0.000 0.000 0.000 Na
5.660 5.660 5.660 Pm
1.887 1.887 1.887 Ho
3.773 3.773 3.773 Al
```

***

Record 3
# AcTbIn2Ag2

A relaxed structure of AcTbIn2Ag2 (PBE, Alexandria).

symmetry	P-3m1, No. 164
ΔE_f	-2.4	eV/f.u.

The structure in POSCAR format:
```
AcTbIn2Ag2
1.0
4.902 0.000 0.000
-2.451 4.245 0.000
0.000 0.000 7.720
Ac Tb In Ag
1 1 2 2
Cartesian
0.000 0.000 0.000 Ac
0.000 0.000 3.860 Tb
0.000 2.830 2.204 In
2.451 1.415 5.516 In
0.000 2.830 5.431 Ag
2.451 1.415 2.290 Ag
```

***

Record 4
# SrNi3N

A relaxed structure of SrNi3N (PBE, Alexandria).

symmetry	Pm-3m, No. 221
VASP energy	-2.67	eV/atom

The structure in POSCAR format:
```
SrNi3N
1.0
4.860 0.000 0.000
0.000 4.860 0.000
0.000 0.000 4.860
Sr Ni N
1 3 1
Cartesian
0.000 0.000 0.000 Sr
0.000 0.000 2.430 Ni
0.000 2.430 0.000 Ni
2.430 0.000 0.000 Ni
2.430 2.430 2.430 N
```

***

Record 5
# TmZn6Ag8

A relaxed structure of TmZn6Ag8 (PBE, Alexandria).

symmetry	R-3, No. 148
ΔE_f	-0.2	eV/f.u.

The structure in POSCAR format:
```
TmZn6Ag8
1.0
3.897 2.250 5.257
-3.897 2.250 5.257
0.000 -4.500 5.257
Tm Zn Ag
1 6 8
Cartesian
0.000 0.000 0.000 Tm
-2.065 -0.068 5.927 Zn
-0.974 -1.823 9.843 Zn
1.092 -1.755 5.927 Zn
-1.092 1.755 9.843 Zn
0.974 1.823 5.927 Zn
2.065 0.068 9.843 Zn
-1.105 -2.391 7.219 Ag
-2.623 -0.239 8.552 Ag
0.000 0.000 3.814 Ag
-1.519 2.153 7.219 Ag
1.519 -2.153 8.552 Ag
0.000 0.000 11.956 Ag
2.623 0.239 7.219 Ag
1.105 2.391 8.552 Ag
```

***

Record 6
# CdBi2TeO6

A relaxed structure of CdBi2TeO6 (PBE, Alexandria).

symmetry	R3, No. 146
VASP energy	-5.25	eV/atom

The structure in POSCAR format:
```
CdBi2TeO6
1.0
3.065 1.769 4.858
-3.065 1.769 4.858
0.000 -3.539 4.858
Cd Bi Te O
1 2 1 6
Cartesian
0.000 0.000 0.000 Cd
0.000 0.000 3.220 Bi
0.000 0.000 10.735 Bi
0.000 0.000 7.531 Te
-0.840 -2.087 6.603 O
-1.551 -0.204 8.822 O
-1.387 1.771 6.603 O
0.952 -1.241 8.822 O
0.599 1.445 8.822 O
2.227 0.316 6.603 O
```

***

Record 7
# LaEuAl

A relaxed structure of LaEuAl (PBE, Alexandria).

symmetry	I4mm, No. 107
ΔE_f	-0.5	eV/f.u.

The structure in POSCAR format:
```
LaEuAl
1.0
-1.912 1.912 6.456
1.912 -1.912 6.456
1.912 1.912 -6.456
La Eu Al
1 1 1
Cartesian
0.000 0.000 0.000 La
0.000 0.000 3.615 Eu
0.000 0.000 8.244 Al
```

***

Record 8
# La2CrCl

A relaxed structure of La2CrCl (PBE, Alexandria).

symmetry	F-43m, No. 216
VASP energy	-5.09	eV/atom

The structure in POSCAR format:
```
La2CrCl
1.0
0.000 3.729 3.729
3.729 0.000 3.729
3.729 3.729 0.000
La Cr Cl
2 1 1
Cartesian
0.000 0.000 0.000 La
1.865 1.865 1.865 La
5.594 5.594 5.594 Cr
3.729 3.729 3.729 Cl
```

***

Computed volume, in the same sequence as the records: 287 107 161 115 277 158 94 104 Å³/f.u..
Computed theoretical density, in the same sequence as the records: 13.80 5.56 8.59 4.02 8.55 7.92 5.59 5.85 g/cm3.